First-principles (PBE) data for a relaxed structure of MnBeP3, as listed in Alexandria.

Lattice parameters (Å, degrees): 4.3617 4.3617 4.3617 90.00 90.00 90.00
Closest atoms and distances in Å follow each position.
Space group Pm-3m (No. 221)
Symmetry-distinct sites (fractional):
Mn 0.0000 0.0000 0.0000  6 P 2.18
Be 0.5000 0.5000 0.5000  12 P 3.08
P 0.0000 0.0000 0.5000  2 Mn 2.18

Computed properties:
Energy above the most stable polymorph in this dataset   0.00 kcal/mol of atoms

First-principles (PBE) data for a relaxed structure of MnBe2P, as listed in Alexandria.

Lattice parameters (Å, degrees): 4.4970 6.6657 2.7078 90.00 90.00 90.00
Closest atoms and distances in Å follow each position.
Space group Cmmm (No. 65)
Symmetry-distinct sites (fractional):
Mn 0.0000 0.0000 0.0000  2 P 2.25, 8 Be 2.42
Be 0.2500 0.2500 0.5000  2 Be 2.25, 4 Mn 2.42, 4 P 2.42
P 0.0000 0.5000 0.0000  2 Mn 2.25, 8 Be 2.42

First-principles (PBE) data for a relaxed structure of MnBeP2, as listed in Alexandria.

Lattice parameters (Å, degrees): 3.2594 4.3408 6.7622 90.00 90.00 90.00
Closest atoms and distances in Å follow each position.
Space group Cmmm (No. 65)
Symmetry-distinct sites (fractional):
Mn 0.0000 0.0000 0.0000  4 P 2.37
Be 0.0000 0.0000 0.5000  4 P 2.33
P 0.0000 0.5000 0.2548  2 Be 2.33, 2 Mn 2.37

First-principles (PBE) data for a relaxed structure of MnBe2P, as listed in Alexandria.

Lattice parameters (Å, degrees): 3.2872 3.2872 7.0108 90.00 90.00 90.00
Closest atoms and distances in Å follow each position.
Space group I-4m2 (No. 119)
Symmetry-distinct sites (fractional):
Mn 0.0000 0.0000 0.0000  8 Be 2.32-2.40, 4 P 2.40
Be 0.0000 0.0000 0.5000  4 Mn 2.32, 4 Be 2.40, 4 P 2.40
Be 0.0000 0.5000 0.2500  4 P 2.32, 4 Mn 2.40, 4 Be 2.40
P 0.0000 0.5000 0.7500  8 Be 2.32-2.40, 4 Mn 2.40

First-principles (PBE) data for a relaxed structure of MnBeP2, as listed in Alexandria.

Lattice parameters (Å, degrees): 2.9063 2.9063 5.3337 90.00 90.00 90.00
Closest atoms and distances in Å follow each position.
Space group P4/mmm (No. 123)
Symmetry-distinct sites (fractional):
Mn 0.0000 0.0000 0.0000  8 P 2.42, 2 Be 2.67
Be 0.0000 0.0000 0.5000  8 P 2.48, 2 Mn 2.67
P 0.5000 0.5000 0.2383  4 Mn 2.42, 4 Be 2.48, 1 P 2.54

First-principles (PBE) data for a relaxed structure of MnBe2P, as listed in Alexandria.

Lattice parameters (Å, degrees): 3.3837 3.3837 3.3568 90.00 90.00 90.00
Closest atoms and distances in Å follow each position.
Space group P4/mmm (No. 123)
Symmetry-distinct sites (fractional):
Mn 0.0000 0.0000 0.0000  8 Be 2.38, 4 P 2.39
Be 0.0000 0.5000 0.5000  4 Mn 2.38, 4 P 2.38, 4 Be 2.39
P 0.5000 0.5000 0.0000  8 Be 2.38, 4 Mn 2.39

First-principles (PBE) data for a relaxed structure of MnBeP, as listed in Alexandria.

Lattice parameters (Å, degrees): 5.1564 5.1564 5.1564 90.00 90.00 90.00
Closest atoms and distances in Å follow each position.
Space group F-43m (No. 216)
Symmetry-distinct sites (fractional):
Mn 0.0000 0.0000 0.0000  4 P 2.23
Be 0.0000 0.0000 0.5000  4 P 2.23
P 0.2500 0.2500 0.2500  4 Mn 2.23, 4 Be 2.23

Computed properties:
Energy above the most stable polymorph in this dataset   6.74 kcal/mol of atoms

First-principles (PBE) data for a relaxed structure of MnBeP2, as listed in Alexandria.

Lattice parameters (Å, degrees): 5.6312 5.6312 5.6312 90.00 90.00 90.00
Closest atoms and distances in Å follow each position.
Space group F-43m (No. 216)
Symmetry-distinct sites (fractional):
Mn 0.0000 0.0000 0.0000  4 Be 2.44, 4 P 2.44
Be 0.2500 0.2500 0.2500  4 P 2.44, 4 Mn 2.44
P 0.0000 0.0000 0.5000  4 P 2.44, 4 Be 2.44
P 0.2500 0.2500 0.7500  4 Mn 2.44, 4 P 2.44

First-principles (PBE) data for a relaxed structure of MnBe2P, as listed in Alexandria.

Lattice parameters (Å, degrees): 8.2884 2.4767 3.9143 90.00 96.63 90.00
Closest atoms and distances in Å follow each position.
Space group C2/m (No. 12)
Symmetry-distinct sites (fractional):
Mn 0.0000 0.0000 0.0000  4 P 2.32, 6 Be 2.42-2.46, 2 Mn 2.48
Be 0.2437 0.5000 0.2399  6 Be 2.26-2.48, 1 P 2.36, 3 Mn 2.42-2.46
P 0.0000 0.5000 0.5000  4 Mn 2.32, 6 Be 2.36-2.57, 2 P 2.48

First-principles (PBE) data for a relaxed structure of MnBe2P, as listed in Alexandria.

Lattice parameters (Å, degrees): 5.3163 5.3163 5.3163 90.00 90.00 90.00
Closest atoms and distances in Å follow each position.
Space group F-43m (No. 216)
Symmetry-distinct sites (fractional):
Mn 0.0000 0.0000 0.0000  4 Be 2.30, 4 P 2.30
Be 0.0000 0.0000 0.5000  4 Be 2.30, 4 P 2.30
Be 0.2500 0.2500 0.2500  4 Mn 2.30, 4 Be 2.30
P 0.2500 0.2500 0.7500  4 Mn 2.30, 4 Be 2.30

First-principles (PBE) data for a relaxed structure of MnBe2P, as listed in Alexandria.

Lattice parameters (Å, degrees): 3.2466 3.2466 7.2782 90.00 90.00 90.00
Closest atoms and distances in Å follow each position.
Space group I4/mmm (No. 139)
Symmetry-distinct sites (fractional):
Mn 0.0000 0.0000 0.0000  4 P 2.30, 8 Be 2.44
Be 0.0000 0.5000 0.2500  4 Be 2.30, 4 Mn 2.44, 4 P 2.44
P 0.0000 0.0000 0.5000  4 Mn 2.30, 8 Be 2.44

First-principles (PBE) data for a relaxed structure of MnBe2P, as listed in Alexandria.

Lattice parameters (Å, degrees): 2.5765 3.6583 4.2430 90.00 90.00 90.00
Closest atoms and distances in Å follow each position.
Space group Pmmm (No. 47)
Symmetry-distinct sites (fractional):
Mn 0.0000 0.0000 0.0000  8 Be 2.45, 4 P 2.48, 2 Mn 2.58
Be 0.5000 0.5000 0.2375  2 Be 2.02-2.23, 2 P 2.14
P 0.5000 0.0000 0.5000  4 Be 2.14

First-principles (PBE) data for a relaxed structure of MnBeP2, as listed in Alexandria.

Lattice parameters (Å, degrees): 3.7548 3.7548 6.2059 90.00 90.00 90.00
Closest atoms and distances in Å follow each position.
Space group I4/mmm (No. 139)
Symmetry-distinct sites (fractional):
Mn 0.0000 0.0000 0.0000  8 P 2.44, 4 Be 2.66
Be 0.0000 0.0000 0.5000  8 P 2.44, 4 Mn 2.66
P 0.0000 0.5000 0.2500  4 Mn 2.44, 4 Be 2.44, 4 P 2.66

First-principles (PBE) data for a relaxed structure of MnBeP2, as listed in Alexandria.

Lattice parameters (Å, degrees): 3.0301 3.9494 7.2525 90.00 90.00 90.00
Closest atoms and distances in Å follow each position.
Space group Imm2 (No. 44)
Symmetry-distinct sites (fractional):
Mn 0.0000 0.0000 0.0000  8 P 2.45-2.61, 4 Be 2.46-2.60
Be 0.0000 0.5000 0.2322  2 P 2.21, 2 Mn 2.46
P 0.0000 0.0000 0.5101  2 Be 2.21, 2 P 2.33
P 0.0000 0.5000 0.7655  2 P 2.33, 4 Mn 2.45-2.61, 4 Be 2.50

First-principles (PBE) data for a relaxed structure of Mn3BeP, as listed in Alexandria.

Lattice parameters (Å, degrees): 4.2580 4.2580 4.2580 90.00 90.00 90.00
Closest atoms and distances in Å follow each position.
Space group Pm-3m (No. 221)
Symmetry-distinct sites (fractional):
Mn 0.0000 0.0000 0.5000  2 P 2.13
Be 0.5000 0.5000 0.5000  12 Mn 3.01
P 0.0000 0.0000 0.0000  6 Mn 2.13

Computed properties:
Energy above the most stable polymorph in this dataset   0.00 kcal/mol of atoms

First-principles (PBE) data for a relaxed structure of MnBeP2, as listed in Alexandria.

Lattice parameters (Å, degrees): 4.7941 6.2905 2.9251 90.00 90.00 90.00
Closest atoms and distances in Å follow each position.
Space group Cmmm (No. 65)
Symmetry-distinct sites (fractional):
Mn 0.0000 0.0000 0.0000  2 Be 2.40, 8 P 2.46
Be 0.0000 0.5000 0.0000  2 Mn 2.40, 8 P 2.46
P 0.2500 0.2500 0.5000  2 P 2.40, 4 Mn 2.46, 4 Be 2.46

First-principles (PBE) data for a relaxed structure of MnBe2P, as listed in Alexandria.

Lattice parameters (Å, degrees): 2.8759 2.8759 4.6353 90.00 90.00 90.00
Closest atoms and distances in Å follow each position.
Space group P4mm (No. 99)
Symmetry-distinct sites (fractional):
Mn 0.0000 0.0000 0.0000  4 P 2.30, 6 Be 2.31-2.42
Be 0.0000 0.0000 0.4991  4 Be 2.27, 2 Mn 2.31-2.32, 4 P 2.38
Be 0.5000 0.5000 0.7173  2 P 2.25-2.39, 4 Be 2.27, 4 Mn 2.42
P 0.5000 0.5000 0.2321  6 Be 2.25-2.39, 4 Mn 2.30

First-principles (PBE) data for a relaxed structure of MnBeP, as listed in Alexandria.

Lattice parameters (Å, degrees): 5.1891 5.1891 5.1891 90.00 90.00 90.00
Closest atoms and distances in Å follow each position.
Space group F-43m (No. 216)
Symmetry-distinct sites (fractional):
Mn 0.0000 0.0000 0.0000  4 Be 2.25, 4 P 2.25
Be 0.2500 0.2500 0.7500  4 Mn 2.25
P 0.2500 0.2500 0.2500  4 Mn 2.25

Computed properties:
Energy above the most stable polymorph in this dataset   10.43 kcal/mol of atoms

First-principles (PBE) data for a relaxed structure of MnBeP2, as listed in Alexandria.

Lattice parameters (Å, degrees): 4.8861 6.4093 3.0447 90.00 98.46 90.00
Closest atoms and distances in Å follow each position.
Space group C2/m (No. 12)
Symmetry-distinct sites (fractional):
Mn 0.0000 0.0000 0.0000  8 P 2.41-2.63, 2 Be 2.44
Be 0.0000 0.5000 0.0000  8 P 2.41-2.63, 2 Mn 2.44
P 0.2500 0.2500 0.5000  4 Mn 2.41-2.63, 4 Be 2.41-2.63, 2 P 2.44

First-principles (PBE) data for a relaxed structure of MnBe2P, as listed in Alexandria.

Lattice parameters (Å, degrees): 6.4625 6.4625 4.5419 90.00 90.00 90.00
Closest atoms and distances in Å follow each position.
Space group I-42d (No. 122)
Symmetry-distinct sites (fractional):
Mn 0.0000 0.0000 0.0000  2 P 2.27
Be 0.2029 0.2500 0.6250  2 P 2.16, 2 Be 2.35
P 0.0000 0.0000 0.5000  4 Be 2.16, 2 Mn 2.27

The records above give, respectively, DFT formation energy values of 0.82 0.01 0.19 -0.25 0.09 -0.15 -0.17 0.44 0.02 0.09 -0.17 -0.07 0.13 0.15 0.49 0.14 -0.22 -0.01 0.15 0.21 eV/atom.
The records above give, respectively, total energy values of -25.04 -43.98 -45.92 -46.07 -23.35 -22.62 -75.29 -87.79 -43.91 -86.72 -45.46 -22.33 -46.41 -46.23 -34.21 -46.31 -22.90 -73.36 -46.23 -84.70 eV for the cell shown.